[1]
! DyZrCu4 (PBE-GGA, relaxed); values from VASP
&SYSTEM
  ibrav = 0, nat = 6, ntyp = 3
/
ATOMIC_SPECIES
Dy 162.50 Dy.upf
Zr 91.22 Zr.upf
Cu 63.55 Cu.upf
ATOMIC_POSITIONS angstrom
Dy 0.000 0.000 0.000
Zr 1.823 1.823 1.823
Cu 4.552 2.740 2.740
Cu 2.740 4.552 2.740
Cu 2.740 2.740 4.552
Cu 4.552 4.552 4.552
CELL_PARAMETERS angstrom
0.000 3.646 3.646
3.646 0.000 3.646
3.646 3.646 0.000
! Calculated formation energy   -89 meV per atom
! Energy relative to the lowest polymorph listed for this composition   81 meV/atom



[2]
! BaTl2Co (PBE-GGA, relaxed); values from VASP
&SYSTEM
  ibrav = 0, nat = 4, ntyp = 3
/
ATOMIC_SPECIES
Ba 137.33 Ba.upf
Tl 204.38 Tl.upf
Co 58.93 Co.upf
ATOMIC_POSITIONS angstrom
Ba 0.000 0.000 0.000
Tl 0.000 0.000 3.309
Tl 1.856 1.856 5.384
Co 1.856 1.856 2.413
CELL_PARAMETERS angstrom
3.712 0.000 0.000
0.000 3.712 0.000
0.000 0.000 8.053
! Calculated formation energy   262 meV per atom



[3]
! Sm7CoCl12 (PBE-GGA, relaxed); values from VASP
&SYSTEM
  ibrav = 0, nat = 20, ntyp = 3
/
ATOMIC_SPECIES
Sm 150.36 Sm.upf
Co 58.93 Co.upf
Cl 35.45 Cl.upf
ATOMIC_POSITIONS angstrom
Sm 0.000 0.000 0.000
Sm -1.475 -1.620 3.676
Sm -0.666 2.087 3.676
Sm 2.140 -0.467 3.676
Sm -2.140 0.467 6.639
Sm 0.666 -2.087 6.639
Sm 1.475 1.620 6.639
Co 0.000 0.000 5.158
Cl -2.074 0.498 1.693
Cl 0.606 -2.045 1.693
Cl -3.870 -1.086 5.037
Cl -0.995 -3.894 5.278
Cl 1.468 1.547 1.693
Cl -2.875 2.808 5.278
Cl 2.875 -2.808 5.037
Cl -1.468 -1.547 8.622
Cl 0.995 3.894 5.037
Cl 3.870 1.086 5.278
Cl -0.606 2.045 8.622
Cl 2.074 -0.498 8.622
CELL_PARAMETERS angstrom
7.265 4.194 3.438
-7.265 4.194 3.438
0.000 -8.388 3.438
! E_form (uncorrected)   -37.62 eV per formula unit



[4]
! MgVGaRu (PBE-GGA, relaxed); values from VASP
&SYSTEM
  ibrav = 0, nat = 16, ntyp = 4
/
ATOMIC_SPECIES
Mg 24.30 Mg.upf
V 50.94 V.upf
Ga 69.72 Ga.upf
Ru 101.07 Ru.upf
ATOMIC_POSITIONS angstrom
Mg 0.000 0.000 0.000
Mg 0.000 3.078 3.078
Mg 3.078 0.000 3.078
Mg 3.078 3.078 0.000
V 0.000 0.000 3.078
V 0.000 3.078 0.000
V 3.078 0.000 0.000
V 3.078 3.078 3.078
Ga 1.539 1.539 4.617
Ga 1.539 4.617 1.539
Ga 4.617 1.539 1.539
Ga 4.617 4.617 4.617
Ru 1.539 1.539 1.539
Ru 1.539 4.617 4.617
Ru 4.617 1.539 4.617
Ru 4.617 4.617 1.539
CELL_PARAMETERS angstrom
6.156 0.000 0.000
0.000 6.156 0.000
0.000 0.000 6.156
! Calculated formation energy   -156 meV per atom



[5]
! Y2NbPtN (PBE-GGA, relaxed); values from VASP
&SYSTEM
  ibrav = 0, nat = 5, ntyp = 4
/
ATOMIC_SPECIES
Y 88.91 Y.upf
Nb 92.91 Nb.upf
Pt 195.08 Pt.upf
N 14.01 N.upf
ATOMIC_POSITIONS angstrom
Y 0.000 2.408 0.000
Y 2.408 0.000 0.000
Nb 0.000 0.000 2.067
Pt 2.408 2.408 2.067
N 0.000 0.000 0.000
CELL_PARAMETERS angstrom
4.816 0.000 0.000
0.000 4.816 0.000
0.000 0.000 4.134
! E_form (uncorrected)   -4.47 eV per formula unit



[6]
! NaZrCuTe3 (PBE-GGA, relaxed); values from VASP
&SYSTEM
  ibrav = 0, nat = 12, ntyp = 4
/
ATOMIC_SPECIES
Na 22.99 Na.upf
Zr 91.22 Zr.upf
Cu 63.55 Cu.upf
Te 127.60 Te.upf
ATOMIC_POSITIONS angstrom
Na 1.353 1.020 2.055
Na 3.735 3.060 7.756
Zr -0.585 3.060 6.632
Zr 5.673 1.020 3.178
Cu 0.495 1.020 8.858
Cu 4.593 3.060 0.952
Te -0.636 3.060 3.598
Te -1.112 3.060 9.428
Te 1.461 1.020 6.424
Te 3.627 3.060 3.387
Te 6.200 1.020 0.383
Te 5.724 1.020 6.213
CELL_PARAMETERS angstrom
8.416 0.000 0.000
0.000 4.080 0.000
-3.328 0.000 9.811
! E_form (uncorrected)   -4.37 eV per formula unit



Number 1: magnetization 0.0 μB/f.u., calculated volume 96.9 Å³ per cell, D(E_F) 4.8 states/eV/f.u.. Number 2: magnetization 1.1 μB/f.u., calculated volume 110.9 Å³ per cell, D(E_F) 4.0 states/eV/f.u.. Number 3: magnetization 0.0 μB/f.u., calculated volume 628.6 Å³ per cell, D(E_F) 1.8 states/eV/f.u.. Number 4: magnetization 0.0 μB/f.u., calculated volume 233.3 Å³ per cell, D(E_F) 0.7 states/eV/f.u.. Number 5: magnetization 1.2 μB/f.u., calculated volume 95.9 Å³ per cell, D(E_F) 3.9 states/eV/f.u.. Number 6: magnetization 0.0 μB/f.u., calculated volume 336.8 Å³ per cell, D(E_F) 0.7 states/eV/f.u..